w | This record from the Alexandria database describes a relaxed Nd2SbCl crystal. The functional is GGA-PBE.

Cell lengths 4.281, 4.281, 7.998 Å; angles 74.48, 74.48, 60.00 degrees
Atoms (fractional coordinates):
Nd1 0.079 0.079 0.763
Nd2 0.255 0.255 0.235
Sb1 0.668 0.668 0.997
Cl1 0.498 0.498 0.505

Summary:
V: 30.2 Å³ per atom
space-group type: R3m, No. 160

---

x | This record from the Alexandria database describes a relaxed Nd2SbCl crystal. The functional is GGA-PBE.

Cell lengths 4.450, 4.450, 7.156 Å; angles 71.88, 71.88, 60.00 degrees
Atoms (fractional coordinates):
Sb1 0.500 0.500 0.500
Nd1 0.255 0.255 0.235
Nd2 0.745 0.745 0.765
Cl1 0.000 0.000 0.000

Summary:
V: 28.6 Å³ per atom
space-group type: R-3m, No. 166

---

Question: of the structures shown, which is the least stable? Reply: w.